This record from the Alexandria database describes an optimized crystal structure of YHo12In3. The functional is PBE.

```
YHo12In3
1.0
4.842 0.000 0.000
0.000 4.842 0.000
0.000 0.000 19.705
Y Ho In
1 12 3
Direct
0.000 0.000 0.000 Y
0.000 0.500 0.131 Ho
0.000 0.500 0.377 Ho
0.000 0.500 0.623 Ho
0.000 0.500 0.869 Ho
0.500 0.000 0.131 Ho
0.500 0.000 0.377 Ho
0.500 0.000 0.623 Ho
0.500 0.000 0.869 Ho
0.500 0.500 0.000 Ho
0.500 0.500 0.255 Ho
0.500 0.500 0.500 Ho
0.500 0.500 0.745 Ho
0.000 0.000 0.256 In
0.000 0.000 0.500 In
0.000 0.000 0.744 In
```

Properties
- Formation energy from the elements: -189 meV/atom
- E: -72.63 eV per formula unit
- Density of states at the Fermi level: 1.198 states/eV per atom

=====

This record from the Alexandria database describes an optimized crystal structure of Tb2Co12B7. The functional is PBE.

```
Tb2Co12B7
1.0
8.474 0.000 0.000
-4.237 7.338 0.000
0.000 0.000 3.393
Tb Co B
2 12 7
Direct
0.000 0.000 0.000 Tb
0.333 0.667 0.500 Tb
0.054 0.765 0.500 Co
0.091 0.388 0.000 Co
0.235 0.289 0.500 Co
0.297 0.909 0.000 Co
0.398 0.218 0.000 Co
0.549 0.122 0.500 Co
0.572 0.451 0.500 Co
0.612 0.703 0.000 Co
0.711 0.946 0.500 Co
0.782 0.180 0.000 Co
0.820 0.602 0.000 Co
0.878 0.428 0.500 Co
0.069 0.632 0.000 B
0.280 0.047 0.500 B
0.368 0.437 0.000 B
0.563 0.931 0.000 B
0.667 0.333 0.000 B
0.768 0.720 0.500 B
0.953 0.232 0.500 B
```

Properties
- Formation energy from the elements: -324 meV/atom
- E: -148.09 eV per formula unit
- Density of states at the Fermi level: 1.024 states/eV per atom

=====

This record from the Alexandria database describes an optimized crystal structure of Y2LuP. The functional is PBE.

```
Y2LuP
1.0
3.753 0.000 0.000
-1.877 3.251 0.000
0.000 0.000 29.683
Y Lu P
6 3 3
Direct
0.000 0.000 0.112 Y
0.000 0.000 0.888 Y
0.333 0.667 0.554 Y
0.333 0.667 0.779 Y
0.667 0.333 0.221 Y
0.667 0.333 0.446 Y
0.000 0.000 0.000 Lu
0.333 0.667 0.667 Lu
0.667 0.333 0.333 Lu
0.000 0.000 0.500 P
0.333 0.667 0.167 P
0.667 0.333 0.833 P
```

Properties
- Formation energy from the elements: -492 meV/atom
- E: -24.83 eV per formula unit
- Density of states at the Fermi level: 1.226 states/eV per atom

=====

This record from the Alexandria database describes an optimized crystal structure of SbPdCl2. The functional is PBE.

```
SbPdCl2
1.0
3.594 0.000 0.000
-1.797 3.112 0.000
0.000 0.000 25.630
Sb Pd Cl
3 3 6
Direct
0.000 0.000 0.000 Sb
0.333 0.667 0.667 Sb
0.667 0.333 0.333 Sb
0.000 0.000 0.500 Pd
0.333 0.667 0.167 Pd
0.667 0.333 0.833 Pd
0.000 0.000 0.104 Cl
0.000 0.000 0.896 Cl
0.333 0.667 0.563 Cl
0.333 0.667 0.771 Cl
0.667 0.333 0.229 Cl
0.667 0.333 0.437 Cl
```

Properties
- Uncorrected formation energy: -0.415 eV/f.u.
- E: -13.42 eV per formula unit
- Density of states at the Fermi level: 0.902 states/eV per atom
- Relative energy among the computed polymorphs: 0.000 eV per atom

=====

This record from the Alexandria database describes an optimized crystal structure of ZnCd2Se. The functional is PBE.

```
ZnCd2Se
1.0
4.632 0.000 0.000
0.000 4.632 0.000
0.000 0.000 4.032
Zn Cd Se
1 2 1
Direct
0.000 0.000 0.000 Zn
0.000 0.500 0.500 Cd
0.500 0.000 0.500 Cd
0.500 0.500 0.000 Se
```

Properties
- Uncorrected formation energy: 0.251 eV/f.u.
- E: -6.34 eV per formula unit
- Density of states at the Fermi level: 0.507 states/eV per atom
- Relative energy among the computed polymorphs: 0.200 eV per atom

=====

This record from the Alexandria database describes an optimized crystal structure of Th2CuNi5. The functional is PBE.

```
Th2CuNi5
1.0
5.854 0.000 0.000
0.000 5.854 0.000
0.000 0.000 7.759
Th Cu Ni
4 2 10
Direct
0.000 0.500 0.000 Th
0.000 0.500 0.500 Th
0.500 0.000 0.000 Th
0.500 0.000 0.500 Th
0.000 0.000 0.204 Cu
0.500 0.500 0.704 Cu
0.000 0.000 0.515 Ni
0.211 0.211 0.754 Ni
0.211 0.789 0.754 Ni
0.289 0.289 0.254 Ni
0.289 0.711 0.254 Ni
0.500 0.500 0.015 Ni
0.711 0.289 0.254 Ni
0.711 0.711 0.254 Ni
0.789 0.211 0.754 Ni
0.789 0.789 0.754 Ni
```

Properties
- Formation energy from the elements: -256 meV/atom
- E: -49.89 eV per formula unit
- Density of states at the Fermi level: 0.537 states/eV per atom

=====

This record from the Alexandria database describes an optimized crystal structure of BeMo4Br. The functional is PBE.

```
BeMo4Br
1.0
0.000 3.721 3.721
3.721 0.000 3.721
3.721 3.721 0.000
Be Mo Br
1 4 1
Direct
0.000 0.000 0.000 Be
0.128 0.624 0.624 Mo
0.624 0.128 0.624 Mo
0.624 0.624 0.128 Mo
0.624 0.624 0.624 Mo
0.250 0.250 0.250 Br
```

Properties
- Uncorrected formation energy: 6.017 eV/f.u.
- E: -42.71 eV per formula unit
- Density of states at the Fermi level: 0.604 states/eV per atom

=====

This record from the Alexandria database describes an optimized crystal structure of InAg6Au2. The functional is PBE.

```
InAg6Au2
1.0
5.370 -5.008 0.000
5.370 5.008 0.000
-4.515 0.000 6.218
In Ag Au
2 12 4
Direct
0.146 0.854 0.750 In
0.854 0.146 0.250 In
0.000 0.218 0.694 Ag
0.000 0.782 0.306 Ag
0.090 0.366 0.135 Ag
0.218 0.000 0.194 Ag
0.323 0.577 0.030 Ag
0.366 0.090 0.635 Ag
0.423 0.677 0.470 Ag
0.577 0.323 0.530 Ag
0.634 0.910 0.365 Ag
0.677 0.423 0.970 Ag
0.782 0.000 0.806 Ag
0.910 0.634 0.865 Ag
0.213 0.439 0.576 Au
0.439 0.213 0.076 Au
0.561 0.787 0.924 Au
0.787 0.561 0.424 Au
```

Properties
- Formation energy from the elements: -17 meV/atom
- E: -26.56 eV per formula unit
- Density of states at the Fermi level: 0.201 states/eV per atom
- Relative energy among the computed polymorphs: 0.000 eV per atom

=====

This record from the Alexandria database describes an optimized crystal structure of Li2InSnBr6. The functional is PBE.

```
Li2InSnBr6
1.0
3.604 2.081 6.606
-3.604 2.081 6.606
0.000 -4.161 6.606
Li In Sn Br
2 1 1 6
Direct
0.000 0.000 0.000 Li
0.495 0.495 0.495 Li
0.190 0.190 0.190 In
0.689 0.689 0.689 Sn
0.126 0.770 0.385 Br
0.268 0.619 0.892 Br
0.385 0.126 0.770 Br
0.619 0.892 0.268 Br
0.770 0.385 0.126 Br
0.892 0.268 0.619 Br
```

Properties
- Uncorrected formation energy: -10.007 eV/f.u.
- E: -30.61 eV per formula unit
- Density of states at the Fermi level: 0.581 states/eV per atom

=====

This record from the Alexandria database describes an optimized crystal structure of Sm3Te2Rh. The functional is PBE.

```
Sm3Te2Rh
1.0
4.361 0.000 0.000
0.000 4.361 0.000
0.000 0.000 18.564
Sm Te Rh
6 4 2
Direct
0.000 0.000 0.000 Sm
0.000 0.000 0.358 Sm
0.000 0.000 0.642 Sm
0.500 0.500 0.142 Sm
0.500 0.500 0.500 Sm
0.500 0.500 0.858 Sm
0.000 0.000 0.176 Te
0.000 0.000 0.824 Te
0.500 0.500 0.324 Te
0.500 0.500 0.676 Te
0.000 0.000 0.500 Rh
0.500 0.500 0.000 Rh
```

Properties
- Uncorrected formation energy: -6.718 eV/f.u.
- E: -34.51 eV per formula unit
- Density of states at the Fermi level: 0.571 states/eV per atom
- Relative energy among the computed polymorphs: 0.006 eV per atom

=====

This record from the Alexandria database describes an optimized crystal structure of BeTc2WS. The functional is PBE.

```
BeTc2WS
1.0
4.752 0.000 0.000
0.000 4.752 0.000
0.000 0.000 4.347
Be Tc W S
1 2 1 1
Direct
0.000 0.000 0.000 Be
0.000 0.500 0.500 Tc
0.500 0.000 0.500 Tc
0.000 0.000 0.500 W
0.500 0.500 0.000 S
```

Properties
- Uncorrected formation energy: 8.785 eV/f.u.
- E: -32.75 eV per formula unit
- Density of states at the Fermi level: 1.111 states/eV per atom

=====

This record from the Alexandria database describes an optimized crystal structure of ReGe2RhCl. The functional is PBE.

```
ReGe2RhCl
1.0
4.681 0.000 0.000
0.000 4.681 0.000
0.000 0.000 5.368
Re Ge Rh Cl
1 2 1 1
Direct
0.000 0.000 0.000 Re
0.000 0.500 0.500 Ge
0.500 0.000 0.500 Ge
0.000 0.000 0.500 Rh
0.500 0.500 0.000 Cl
```

Properties
- Uncorrected formation energy: 4.287 eV/f.u.
- E: -26.59 eV per formula unit
- Density of states at the Fermi level: 0.307 states/eV per atom

=====

This record from the Alexandria database describes an optimized crystal structure of MnTe2Pt2. The functional is PBE.

```
MnTe2Pt2
1.0
3.828 0.000 0.000
0.000 3.828 0.000
0.000 0.000 14.780
Mn Te Pt
2 4 4
Direct
0.000 0.000 0.000 Mn
0.500 0.500 0.500 Mn
0.000 0.000 0.389 Te
0.000 0.000 0.611 Te
0.500 0.500 0.111 Te
0.500 0.500 0.889 Te
0.000 0.500 0.250 Pt
0.000 0.500 0.750 Pt
0.500 0.000 0.250 Pt
0.500 0.000 0.750 Pt
```

Properties
- Uncorrected formation energy: 0.785 eV/f.u.
- E: -26.75 eV per formula unit
- Density of states at the Fermi level: 0.534 states/eV per atom

=====

This record from the Alexandria database describes an optimized crystal structure of PaReSi2. The functional is PBE.

```
PaReSi2
1.0
6.863 0.000 0.000
0.000 4.111 0.000
0.000 0.000 10.077
Pa Re Si
4 4 8
Direct
0.169 0.250 0.131 Pa
0.331 0.750 0.631 Pa
0.669 0.250 0.369 Pa
0.831 0.750 0.869 Pa
0.009 0.750 0.391 Re
0.491 0.250 0.891 Re
0.509 0.750 0.109 Re
0.991 0.250 0.609 Re
0.142 0.250 0.823 Si
0.212 0.250 0.421 Si
0.288 0.750 0.921 Si
0.358 0.750 0.323 Si
0.642 0.250 0.677 Si
0.712 0.250 0.079 Si
0.788 0.750 0.579 Si
0.858 0.750 0.177 Si
```

Properties
- Uncorrected formation energy: -2.095 eV/f.u.
- E: -34.89 eV per formula unit
- Density of states at the Fermi level: 0.897 states/eV per atom

=====

This record from the Alexandria database describes an optimized crystal structure of Sc2TlRuC. The functional is PBE.

```
Sc2TlRuC
1.0
4.645 0.000 0.000
0.000 4.645 0.000
0.000 0.000 3.967
Sc Tl Ru C
2 1 1 1
Direct
0.000 0.500 0.000 Sc
0.500 0.000 0.000 Sc
0.000 0.000 0.500 Tl
0.500 0.500 0.500 Ru
0.500 0.500 0.000 C
```

Properties
- Formation energy from the elements: -413 meV/atom
- E: -35.59 eV per formula unit
- Density of states at the Fermi level: 0.379 states/eV per atom

=====

This record from the Alexandria database describes an optimized crystal structure of ZnSbPb2. The functional is PBE.

```
ZnSbPb2
1.0
4.111 0.000 0.000
0.000 5.445 0.000
0.000 0.000 9.806
Zn Sb Pb
2 2 4
Direct
0.000 0.000 0.000 Zn
0.500 0.500 0.500 Zn
0.000 0.500 0.304 Sb
0.500 0.000 0.804 Sb
0.000 0.000 0.522 Pb
0.000 0.500 0.737 Pb
0.500 0.000 0.237 Pb
0.500 0.500 0.022 Pb
```

Properties
- Uncorrected formation energy: 0.413 eV/f.u.
- E: -12.40 eV per formula unit
- Density of states at the Fermi level: 0.471 states/eV per atom
- Relative energy among the computed polymorphs: 0.000 eV per atom

=====

This record from the Alexandria database describes an optimized crystal structure of Cs4K2GeP2. The functional is PBE.

```
Cs4K2GeP2
1.0
11.642 -5.092 0.000
11.642 5.092 0.000
-0.044 0.000 5.254
Cs K Ge P
4 2 1 2
Direct
0.140 0.653 0.511 Cs
0.347 0.860 0.489 Cs
0.653 0.140 0.511 Cs
0.860 0.347 0.489 Cs
0.241 0.241 0.000 K
0.759 0.759 0.000 K
0.000 0.000 0.000 Ge
0.092 0.092 0.988 P
0.908 0.908 0.012 P
```

Properties
- Formation energy from the elements: -101 meV/atom
- E: -21.96 eV per formula unit
- Density of states at the Fermi level: 0.707 states/eV per atom

=====

This record from the Alexandria database describes an optimized crystal structure of Tl6Hg3Te. The functional is PBE.

```
Tl6Hg3Te
1.0
10.344 0.000 0.000
0.000 4.399 0.000
-0.118 0.000 13.955
Tl Hg Te
12 6 2
Direct
0.056 0.250 0.406 Tl
0.154 0.250 0.698 Tl
0.182 0.750 0.212 Tl
0.203 0.250 0.992 Tl
0.388 0.750 0.808 Tl
0.442 0.250 0.595 Tl
0.558 0.750 0.405 Tl
0.612 0.250 0.192 Tl
0.797 0.750 0.008 Tl
0.818 0.250 0.788 Tl
0.846 0.750 0.302 Tl
0.944 0.750 0.594 Tl
0.249 0.750 0.501 Hg
0.357 0.250 0.328 Hg
0.439 0.750 0.074 Hg
0.561 0.250 0.926 Hg
0.643 0.750 0.672 Hg
0.751 0.250 0.499 Hg
0.050 0.750 0.856 Te
0.950 0.250 0.144 Te
```

Properties
- Uncorrected formation energy: -0.672 eV/f.u.
- E: -18.92 eV per formula unit
- Density of states at the Fermi level: 0.377 states/eV per atom
- Relative energy among the computed polymorphs: 0.000 eV per atom

=====

This record from the Alexandria database describes an optimized crystal structure of PrLuOs4. The functional is PBE.

```
PrLuOs4
1.0
0.000 3.811 3.811
3.811 0.000 3.811
3.811 3.811 0.000
Pr Lu Os
1 1 4
Direct
0.000 0.000 0.000 Pr
0.750 0.750 0.750 Lu
0.375 0.375 0.375 Os
0.375 0.375 0.874 Os
0.375 0.874 0.375 Os
0.874 0.375 0.375 Os
```

Properties
- Formation energy from the elements: -159 meV/atom
- E: -55.17 eV per formula unit
- Density of states at the Fermi level: 0.982 states/eV per atom

=====

This record from the Alexandria database describes an optimized crystal structure of FeSi2Cl. The functional is PBE.

```
FeSi2Cl
1.0
3.033 0.000 0.000
0.000 3.033 0.000
0.000 0.000 7.241
Fe Si Cl
1 2 1
Direct
0.000 0.000 0.000 Fe
0.000 0.000 0.349 Si
0.500 0.500 0.153 Si
0.500 0.500 0.775 Cl
```

Properties
- Uncorrected formation energy: 0.722 eV/f.u.
- E: -20.43 eV per formula unit
- Density of states at the Fermi level: 0.604 states/eV per atom
- Relative energy among the computed polymorphs: 0.084 eV per atom

=====

This record from the Alexandria database describes an optimized crystal structure of BaPaFeN3. The functional is PBE.

```
BaPaFeN3
1.0
7.720 0.000 0.000
0.000 3.561 0.000
-1.839 0.000 7.655
Ba Pa Fe N
2 2 2 6
Direct
0.179 0.250 0.214 Ba
0.821 0.750 0.786 Ba
0.340 0.750 0.836 Pa
0.660 0.250 0.164 Pa
0.067 0.250 0.598 Fe
0.933 0.750 0.402 Fe
0.150 0.250 0.849 N
0.151 0.750 0.555 N
0.458 0.750 0.132 N
0.542 0.250 0.868 N
0.849 0.250 0.445 N
0.850 0.750 0.151 N
```

Properties
- Uncorrected formation energy: -5.723 eV/f.u.
- E: -50.58 eV per formula unit
- Density of states at the Fermi level: 0.361 states/eV per atom

=====

This record from the Alexandria database describes an optimized crystal structure of HfZnCr2Tc. The functional is PBE.

```
HfZnCr2Tc
1.0
4.320 0.000 0.000
0.000 4.320 0.000
0.000 0.000 4.602
Hf Zn Cr Tc
1 1 2 1
Direct
0.000 0.000 0.000 Hf
0.500 0.500 0.500 Zn
0.000 0.500 0.500 Cr
0.500 0.000 0.500 Cr
0.500 0.500 0.000 Tc
```

Properties
- Formation energy from the elements: 1282 meV/atom
- E: -34.43 eV per formula unit
- Density of states at the Fermi level: 2.004 states/eV per atom

=====

This record from the Alexandria database describes an optimized crystal structure of Si2TcW2. The functional is PBE.

```
Si2TcW2
1.0
6.432 0.000 0.000
0.000 6.432 0.000
0.000 0.000 3.456
Si Tc W
4 2 4
Direct
0.134 0.366 0.000 Si
0.366 0.866 0.000 Si
0.634 0.134 0.000 Si
0.866 0.634 0.000 Si
0.000 0.000 0.000 Tc
0.500 0.500 0.000 Tc
0.163 0.663 0.500 W
0.337 0.163 0.500 W
0.663 0.837 0.500 W
0.837 0.337 0.500 W
```

Properties
- Uncorrected formation energy: -0.393 eV/f.u.
- E: -47.51 eV per formula unit
- Density of states at the Fermi level: 0.613 states/eV per atom
- Relative energy among the computed polymorphs: 0.000 eV per atom

=====

This record from the Alexandria database describes an optimized crystal structure of FeSbIr2. The functional is PBE.

```
FeSbIr2
1.0
9.089 0.000 0.000
0.000 3.004 0.000
-0.814 0.000 4.668
Fe Sb Ir
2 2 4
Direct
0.000 0.000 0.000 Fe
0.500 0.500 0.000 Fe
0.265 0.500 0.328 Sb
0.765 0.000 0.328 Sb
0.012 0.500 0.533 Ir
0.264 0.000 0.848 Ir
0.512 0.000 0.533 Ir
0.764 0.500 0.848 Ir
```

Properties
- Uncorrected formation energy: 0.760 eV/f.u.
- E: -29.55 eV per formula unit
- Density of states at the Fermi level: 0.853 states/eV per atom